Computed, not measured: IrCl2 after structural relaxation at the PBE-GGA level of DFT.

Cell lengths 5.437, 5.437, 5.437 Å; angles 60.00, 60.00, 60.00 degrees
Positions (direct):
Cl1 0.625 0.625 0.125
Cl2 0.625 0.125 0.625
Cl3 0.125 0.625 0.625
Cl4 0.625 0.625 0.625
Ir1 0.000 0.000 0.000
Ir2 0.250 0.250 0.250

space group	Fd-3m, No. 227
raw total energy	-2.262	eV/atom



Computed, not measured: K3IrCl6 after structural relaxation at the PBE-GGA level of DFT.

Cell lengths 7.398, 7.398, 7.398 Å; angles 60.00, 60.00, 60.00 degrees
Positions (direct):
Cl1 0.775 0.225 0.225
Cl2 0.225 0.775 0.225
Cl3 0.775 0.775 0.225
Cl4 0.225 0.225 0.775
Cl5 0.775 0.225 0.775
Cl6 0.225 0.775 0.775
Ir1 0.000 0.000 0.000
K1 0.250 0.250 0.250
K2 0.500 0.500 0.500
K3 0.750 0.750 0.750

space group	Fm-3m, No. 225
energy relative to the lowest polymorph listed for this composition	0.54	eV per formula unit



Computed, not measured: K3IrCl6 after structural relaxation at the PBE-GGA level of DFT.

Cell lengths 12.578, 7.481, 11.946 Å; angles 90.00, 108.29, 90.00 degrees
Positions (direct):
Cl1 0.852 0.807 0.005
Cl2 0.593 0.240 0.101
Cl3 0.141 0.794 0.103
Cl4 0.383 0.502 0.121
Cl5 0.624 0.689 0.141
Cl6 0.000 0.131 0.181
Cl7 0.000 0.631 0.319
Cl8 0.376 0.189 0.359
Cl9 0.617 0.002 0.379
Cl10 0.859 0.294 0.397
Cl11 0.407 0.740 0.399
Cl12 0.148 0.307 0.495
Cl13 0.852 0.693 0.505
Cl14 0.593 0.260 0.601
Cl15 0.141 0.706 0.603
Cl16 0.383 0.998 0.621
Cl17 0.624 0.811 0.641
Cl18 0.000 0.369 0.681
Cl19 0.000 0.869 0.819
Cl20 0.376 0.311 0.859
Cl21 0.617 0.498 0.879
Cl22 0.859 0.206 0.897
Cl23 0.407 0.760 0.899
Cl24 0.148 0.193 0.995
Ir1 0.000 0.000 0.000
Ir2 0.500 0.500 0.000
Ir3 0.500 0.000 0.500
Ir4 0.000 0.500 0.500
K1 0.818 0.434 0.114
K2 0.402 0.960 0.141
K3 0.182 0.431 0.235
K4 0.818 0.931 0.265
K5 0.598 0.460 0.359
K6 0.182 0.934 0.386
K7 0.818 0.066 0.614
K8 0.402 0.540 0.641
K9 0.182 0.069 0.735
K10 0.818 0.569 0.765
K11 0.598 0.040 0.859
K12 0.182 0.566 0.886

space group	P2_1/c, No. 14
energy relative to the lowest polymorph listed for this composition	0.00	eV per formula unit



Computed, not measured: K3IrCl6 after structural relaxation at the PBE-GGA level of DFT.

Cell lengths 7.215, 7.215, 7.215 Å; angles 63.39, 63.39, 63.39 degrees
Positions (direct):
Cl1 0.308 0.800 0.127
Cl2 0.873 0.692 0.200
Cl3 0.800 0.127 0.308
Cl4 0.200 0.873 0.692
Cl5 0.127 0.308 0.800
Cl6 0.692 0.200 0.873
Ir1 0.000 0.000 0.000
K1 0.231 0.231 0.231
K2 0.500 0.500 0.500
K3 0.769 0.769 0.769

space group	R-3, No. 148
energy relative to the lowest polymorph listed for this composition	0.18	eV per formula unit



Computed, not measured: KIrCl4 after structural relaxation at the PBE-GGA level of DFT.

Cell lengths 8.374, 8.374, 8.374 Å; angles 128.49, 128.49, 75.84 degrees
Positions (direct):
Cl1 0.482 0.183 0.112
Cl2 0.933 0.321 0.201
Cl3 0.817 0.929 0.299
Cl4 0.268 0.067 0.388
Cl5 0.679 0.880 0.612
Cl6 0.630 0.518 0.701
Cl7 0.120 0.732 0.799
Cl8 0.071 0.370 0.888
Ir1 0.000 0.000 0.000
Ir2 0.750 0.250 0.500
K1 0.500 0.500 0.000
K2 0.250 0.750 0.500

space group	I4_1/a, No. 88
raw total energy	-3.606	eV/atom



Computed, not measured: K2NaIrCl6 after structural relaxation at the PBE-GGA level of DFT.

Cell lengths 7.131, 7.131, 7.131 Å; angles 121.43, 121.43, 87.53 degrees
Positions (direct):
Cl1 0.230 0.230 0.000
Cl2 0.770 0.770 0.000
Cl3 0.291 0.827 0.118
Cl4 0.173 0.291 0.464
Cl5 0.827 0.709 0.536
Cl6 0.709 0.173 0.882
Ir1 0.000 0.000 0.000
K1 0.750 0.250 0.500
K2 0.250 0.750 0.500
Na1 0.500 0.500 0.000

space group	I4/m, No. 87
raw total energy	-3.673	eV/atom



Computed, not measured: K2NiIrCl6 after structural relaxation at the PBE-GGA level of DFT.

Cell lengths 6.835, 6.835, 6.835 Å; angles 60.00, 60.00, 60.00 degrees
Positions (direct):
Cl1 0.752 0.248 0.248
Cl2 0.248 0.752 0.248
Cl3 0.752 0.752 0.248
Cl4 0.248 0.248 0.752
Cl5 0.752 0.248 0.752
Cl6 0.248 0.752 0.752
Ir1 0.000 0.000 0.000
K1 0.250 0.250 0.250
K2 0.750 0.750 0.750
Ni1 0.500 0.500 0.500

space group	Fm-3m, No. 225
raw total energy	-3.716	eV/atom



Computed, not measured: K2IrPdCl6 after structural relaxation at the PBE-GGA level of DFT.

Cell lengths 6.991, 6.991, 6.991 Å; angles 60.00, 60.00, 60.00 degrees
Positions (direct):
Cl1 0.758 0.242 0.242
Cl2 0.242 0.758 0.242
Cl3 0.758 0.758 0.242
Cl4 0.242 0.242 0.758
Cl5 0.758 0.242 0.758
Cl6 0.242 0.758 0.758
Ir1 0.000 0.000 0.000
K1 0.250 0.250 0.250
K2 0.750 0.750 0.750
Pd1 0.500 0.500 0.500

space group	Fm-3m, No. 225
raw total energy	-3.670	eV/atom



Computed, not measured: KRb2IrCl6 after structural relaxation at the PBE-GGA level of DFT.

Cell lengths 7.449, 7.449, 7.449 Å; angles 60.00, 60.00, 60.00 degrees
Positions (direct):
Cl1 0.776 0.224 0.224
Cl2 0.224 0.776 0.224
Cl3 0.776 0.776 0.224
Cl4 0.224 0.224 0.776
Cl5 0.776 0.224 0.776
Cl6 0.224 0.776 0.776
Ir1 0.000 0.000 0.000
K1 0.500 0.500 0.500
Rb1 0.250 0.250 0.250
Rb2 0.750 0.750 0.750

space group	Fm-3m, No. 225
raw total energy	-3.661	eV/atom



Computed, not measured: K3SnIrCl8 after structural relaxation at the PBE-GGA level of DFT.

Cell lengths 9.541, 9.614, 7.904 Å; angles 90.00, 90.00, 90.00 degrees
Positions (direct):
Cl1 0.000 0.187 0.082
Cl2 0.500 0.560 0.101
Cl3 0.000 0.529 0.179
Cl4 0.309 0.934 0.219
Cl5 0.691 0.934 0.219
Cl6 0.250 0.314 0.336
Cl7 0.750 0.314 0.336
Cl8 0.000 0.853 0.426
Cl9 0.500 0.813 0.582
Cl10 0.000 0.440 0.601
Cl11 0.500 0.471 0.679
Cl12 0.191 0.066 0.719
Cl13 0.809 0.066 0.719
Cl14 0.250 0.686 0.836
Cl15 0.750 0.686 0.836
Cl16 0.500 0.147 0.926
Ir1 0.000 0.311 0.341
Ir2 0.500 0.689 0.841
K1 0.000 0.862 0.003
K2 0.259 0.627 0.434
K3 0.741 0.627 0.434
K4 0.500 0.138 0.503
K5 0.241 0.373 0.934
K6 0.759 0.373 0.934
Sn1 0.500 0.906 0.021
Sn2 0.000 0.094 0.521

space group	Pmn2_1, No. 31
raw total energy	-3.706	eV/atom



Computed, not measured: KTl2IrCl6 after structural relaxation at the PBE-GGA level of DFT.

Cell lengths 7.418, 7.418, 7.418 Å; angles 60.00, 60.00, 60.00 degrees
Positions (direct):
Cl1 0.776 0.224 0.224
Cl2 0.224 0.776 0.224
Cl3 0.776 0.776 0.224
Cl4 0.224 0.224 0.776
Cl5 0.776 0.224 0.776
Cl6 0.224 0.776 0.776
Ir1 0.000 0.000 0.000
K1 0.500 0.500 0.500
Tl1 0.250 0.250 0.250
Tl2 0.750 0.750 0.750

space group	Fm-3m, No. 225
raw total energy	-3.534	eV/atom



Computed, not measured: La4IrCl5 after structural relaxation at the PBE-GGA level of DFT.

Cell lengths 9.643, 9.643, 8.547 Å; angles 107.74, 107.74, 24.84 degrees
Positions (direct):
Cl1 0.826 0.826 0.118
Cl2 0.168 0.168 0.365
Cl3 0.500 0.500 0.500
Cl4 0.832 0.832 0.635
Cl5 0.174 0.174 0.882
Ir1 0.500 0.500 0.000
La1 0.661 0.661 0.125
La2 0.997 0.997 0.224
La3 0.003 0.003 0.776
La4 0.339 0.339 0.875

space group	C2/m, No. 12
raw total energy	-5.603	eV/atom



Computed, not measured: Rb2LiIrCl6 after structural relaxation at the PBE-GGA level of DFT.

Cell lengths 6.997, 6.997, 6.997 Å; angles 60.00, 60.00, 60.00 degrees
Positions (direct):
Cl1 0.760 0.240 0.240
Cl2 0.240 0.760 0.240
Cl3 0.760 0.760 0.240
Cl4 0.240 0.240 0.760
Cl5 0.760 0.240 0.760
Cl6 0.240 0.760 0.760
Ir1 0.000 0.000 0.000
Li1 0.500 0.500 0.500
Rb1 0.250 0.250 0.250
Rb2 0.750 0.750 0.750

space group	Fm-3m, No. 225
raw total energy	-3.701	eV/atom



Computed, not measured: IrNCl3 after structural relaxation at the PBE-GGA level of DFT.

Cell lengths 7.965, 8.044, 8.771 Å; angles 95.91, 109.51, 109.32 degrees
Positions (direct):
Cl1 0.055 0.211 0.035
Cl2 0.677 0.959 0.102
Cl3 0.792 0.452 0.150
Cl4 0.329 0.050 0.303
Cl5 0.551 0.586 0.326
Cl6 0.195 0.633 0.489
Cl7 0.805 0.367 0.511
Cl8 0.449 0.414 0.674
Cl9 0.671 0.950 0.697
Cl10 0.208 0.548 0.850
Cl11 0.323 0.041 0.898
Cl12 0.945 0.789 0.965
Ir1 0.011 0.029 0.233
Ir2 0.875 0.644 0.403
Ir3 0.125 0.356 0.597
Ir4 0.989 0.971 0.767
N1 0.949 0.846 0.330
N2 0.071 0.235 0.376
N3 0.929 0.765 0.624
N4 0.051 0.154 0.670

space group	P-1, No. 2
raw total energy	-4.531	eV/atom



Computed, not measured: Nd3IrCl after structural relaxation at the PBE-GGA level of DFT.

Cell lengths 5.188, 5.188, 5.188 Å; angles 90.00, 90.00, 90.00 degrees
Positions (direct):
Cl1 0.500 0.500 0.500
Ir1 0.000 0.000 0.000
Nd1 0.500 0.500 0.000
Nd2 0.500 0.000 0.500
Nd3 0.000 0.500 0.500

space group	Pm-3m, No. 221
raw total energy	-5.140	eV/atom



Computed, not measured: Tl2NiIrCl6 after structural relaxation at the PBE-GGA level of DFT.

Cell lengths 6.789, 6.789, 6.789 Å; angles 60.00, 60.00, 60.00 degrees
Positions (direct):
Cl1 0.751 0.249 0.249
Cl2 0.249 0.751 0.249
Cl3 0.751 0.751 0.249
Cl4 0.249 0.249 0.751
Cl5 0.751 0.249 0.751
Cl6 0.249 0.751 0.751
Ir1 0.000 0.000 0.000
Ni1 0.500 0.500 0.500
Tl1 0.250 0.250 0.250
Tl2 0.750 0.750 0.750

space group	Fm-3m, No. 225
raw total energy	-3.576	eV/atom



Computed, not measured: IrPbCl6 after structural relaxation at the PBE-GGA level of DFT.

Cell lengths 6.206, 6.206, 7.151 Å; angles 107.80, 107.80, 100.51 degrees
Positions (direct):
Cl1 0.730 0.730 0.051
Cl2 0.963 0.304 0.267
Cl3 0.304 0.963 0.267
Cl4 0.696 0.037 0.733
Cl5 0.037 0.696 0.733
Cl6 0.270 0.270 0.949
Ir1 0.000 0.000 0.000
Pb1 0.000 0.000 0.500

space group	C2/m, No. 12
raw total energy	-3.627	eV/atom



Computed, not measured: Pm4IrCl5 after structural relaxation at the PBE-GGA level of DFT.

Cell lengths 9.542, 9.542, 8.462 Å; angles 105.29, 105.29, 24.48 degrees
Positions (direct):
Cl1 0.826 0.826 0.124
Cl2 0.167 0.167 0.341
Cl3 0.500 0.500 0.500
Cl4 0.833 0.833 0.659
Cl5 0.174 0.174 0.876
Ir1 0.500 0.500 0.000
Pm1 0.655 0.655 0.105
Pm2 0.998 0.998 0.223
Pm3 0.002 0.002 0.777
Pm4 0.345 0.345 0.895

space group	C2/m, No. 12
raw total energy	-5.426	eV/atom



Computed, not measured: Pr4IrCl5 after structural relaxation at the PBE-GGA level of DFT.

Cell lengths 9.621, 9.621, 8.584 Å; angles 104.74, 104.74, 24.70 degrees
Positions (direct):
Cl1 0.828 0.828 0.140
Cl2 0.168 0.168 0.331
Cl3 0.500 0.500 0.500
Cl4 0.832 0.832 0.669
Cl5 0.172 0.172 0.860
Ir1 0.500 0.500 0.000
Pr1 0.656 0.656 0.094
Pr2 0.001 0.001 0.226
Pr3 0.999 0.999 0.774
Pr4 0.344 0.344 0.906

space group	C2/m, No. 12
raw total energy	-5.429	eV/atom



Computed, not measured: Rb2TlIrCl6 after structural relaxation at the PBE-GGA level of DFT.

Cell lengths 7.522, 7.522, 7.522 Å; angles 60.00, 60.00, 60.00 degrees
Positions (direct):
Cl1 0.777 0.223 0.223
Cl2 0.223 0.777 0.223
Cl3 0.777 0.777 0.223
Cl4 0.223 0.223 0.777
Cl5 0.777 0.223 0.777
Cl6 0.223 0.777 0.777
Ir1 0.000 0.000 0.000
Rb1 0.250 0.250 0.250
Rb2 0.750 0.750 0.750
Tl1 0.500 0.500 0.500

space group	Fm-3m, No. 225
raw total energy	-3.603	eV/atom